1.
Dy2YTmSc2 (GGA-PBE, optimized geometry); symmetry = No. 58; ρ = 6.41 g cm⁻³; DFT formation energy = 0.0689 eV per atom
1.0
6.874 0.000 0.000
0.000 9.352 0.000
0.000 0.000 5.420
Dy Y Tm Sc
4 2 2 4
Direct
0.249 0.167 0.000 Dy
0.251 0.667 0.500 Dy
0.749 0.333 0.500 Dy
0.751 0.833 0.000 Dy
0.000 0.500 0.000 Y
0.500 0.000 0.500 Y
0.000 0.000 0.500 Tm
0.500 0.500 0.000 Tm
0.250 0.333 0.500 Sc
0.250 0.833 0.000 Sc
0.750 0.167 0.000 Sc
0.750 0.667 0.500 Sc

=====

2.
ErZn2Si (GGA-PBE, optimized geometry); symmetry = No. 123; ρ = 7.57 g cm⁻³; ΔE_f (raw) = -0.35 eV per atom
1.0
4.060 0.000 0.000
0.000 4.060 0.000
0.000 0.000 4.343
Er Zn Si
1 2 1
Direct
0.000 0.000 0.000 Er
0.000 0.500 0.500 Zn
0.500 0.000 0.500 Zn
0.500 0.500 0.000 Si

=====

3.
AcTbCuSn (GGA-PBE, optimized geometry); symmetry = No. 216; ρ = 8.39 g cm⁻³; DFT formation energy = -0.3406 eV per atom
1.0
7.663 0.000 0.000
0.000 7.663 0.000
0.000 0.000 7.663
Ac Tb Cu Sn
4 4 4 4
Direct
0.000 0.000 0.000 Ac
0.000 0.500 0.500 Ac
0.500 0.000 0.500 Ac
0.500 0.500 0.000 Ac
0.000 0.000 0.500 Tb
0.000 0.500 0.000 Tb
0.500 0.000 0.000 Tb
0.500 0.500 0.500 Tb
0.250 0.250 0.750 Cu
0.250 0.750 0.250 Cu
0.750 0.250 0.250 Cu
0.750 0.750 0.750 Cu
0.250 0.250 0.250 Sn
0.250 0.750 0.750 Sn
0.750 0.250 0.750 Sn
0.750 0.750 0.250 Sn

=====

4.
FeRuPt (GGA-PBE, optimized geometry); symmetry = No. 156; ρ = 13.99 g cm⁻³; DFT formation energy = 0.0295 eV per atom
1.0
2.718 0.000 0.000
-1.359 2.354 0.000
0.000 0.000 6.528
Fe Ru Pt
1 1 1
Direct
0.000 0.000 0.000 Fe
0.667 0.333 0.691 Ru
0.333 0.667 0.332 Pt

=====

5.
HfCoRh (GGA-PBE, optimized geometry); symmetry = No. 107; ρ = 12.23 g cm⁻³; DFT formation energy = -0.3814 eV per atom
1.0
3.211 0.000 0.000
0.000 3.211 0.000
0.000 0.000 8.963
Hf Co Rh
2 2 2
Direct
0.000 0.000 0.000 Hf
0.500 0.500 0.500 Hf
0.000 0.000 0.342 Co
0.500 0.500 0.842 Co
0.000 0.000 0.669 Rh
0.500 0.500 0.169 Rh

=====

6.
Zn2InNi8 (GGA-PBE, optimized geometry); symmetry = No. 12; ρ = 8.93 g cm⁻³; DFT formation energy = -0.0896 eV per atom
1.0
6.531 -1.839 0.000
6.531 1.839 0.000
-1.542 0.000 5.537
Zn In Ni
2 1 8
Direct
0.226 0.226 0.145 Zn
0.774 0.774 0.855 Zn
0.500 0.500 0.500 In
0.046 0.046 0.214 Ni
0.142 0.142 0.691 Ni
0.315 0.315 0.590 Ni
0.408 0.408 0.032 Ni
0.592 0.592 0.968 Ni
0.685 0.685 0.410 Ni
0.858 0.858 0.309 Ni
0.954 0.954 0.786 Ni

=====

The highest ρ belongs to which entry? FeRuPt